Na3DyPu3S8 | Alexandria | PBE | optimized geometry; E_form (uncorrected) = -1.599 eV per atom
1.0
8.0309 0.0000 0.0000
-4.0155 6.9514 -0.0255
0.0000 -4.6124 6.6615
Na Dy Pu S
3 1 3 8
Direct
0.0000 0.0000 0.0000
0.0000 0.5000 0.0000
0.5000 0.5000 0.0000
0.0000 0.0000 0.5000
0.5000 0.0000 0.5000
0.5000 0.5000 0.5000
0.0000 0.5000 0.5000
0.2587 0.5174 0.2763
0.7413 0.4826 0.7237
0.7599 0.5198 0.2805
0.2401 0.4802 0.7195
0.7600 0.0203 0.2804
0.2400 0.9797 0.7196
0.2602 0.0203 0.2804
0.7398 0.9797 0.7196

***

Pm3Ho2Co2 | Alexandria | PBE | optimized geometry; formation energy from the elements = -0.105 eV per atom
1.0
3.7537 0.0000 0.0000
-1.8769 6.0036 -0.3911
0.0000 -3.2794 8.2589
Pm Ho Co
3 2 2
Direct
0.5000 0.0000 0.0000
0.6152 0.2305 0.4253
0.3848 0.7695 0.5747
0.8252 0.6504 0.1910
0.1748 0.3496 0.8090
0.8166 0.6333 0.7577
0.1834 0.3667 0.2423

***

Total energy for every record listed, in sequence, given in eV per cell: -108.6, -38.4.